No. 1
# AlTeOsN2 | the Alexandria database | PBE-GGA | optimized geometry
data_AlTeOsN2
_chemical_formula_sum 'Al1 Te1 Os1 N2'
_symmetry_space_group_name_H-M 'P 4/m m m'
_symmetry_Int_Tables_number 123
_symmetry_space_group_name_Hall '-P 4 2'
_cell_length_a 3.7025
_cell_length_b 3.7025
_cell_length_c 6.6379
_cell_angle_alpha 90.00
_cell_angle_beta 90.00
_cell_angle_gamma 90.00
loop_
_atom_site_label
_atom_site_type_symbol
_atom_site_fract_x
_atom_site_fract_y
_atom_site_fract_z
Al1 Al 0.0000 0.0000 0.0000
Te1 Te 0.0000 0.0000 0.5000
Os1 Os 0.5000 0.5000 0.5000
N1 N 0.0000 0.5000 0.0000
# Formation energy (no corrections): 1.402 eV/atom
# Relative energy among the computed polymorphs: 753 meV per atom
# E: -5.551 eV/atom

No. 2
# LiErTmSe3 | the Alexandria database | PBE-GGA | optimized geometry
data_LiErTmSe3
_chemical_formula_sum 'Li2 Er2 Tm2 Se6'
_symmetry_space_group_name_H-M 'P 1 21/m 1'
_symmetry_Int_Tables_number 11
_cell_length_a 8.2439
_cell_length_b 3.9058
_cell_length_c 8.6771
_cell_angle_alpha 90.00
_cell_angle_beta 103.00
_cell_angle_gamma 90.00
loop_
_symmetry_equiv_pos_as_xyz
'x,y,z'
'-x,-y,-z'
'-x,y+1/2,-z'
'x,-y+1/2,z'
loop_
_atom_site_label
_atom_site_type_symbol
_atom_site_fract_x
_atom_site_fract_y
_atom_site_fract_z
Li1 Li 0.0868 0.2500 0.0837
Er1 Er 0.1868 0.2500 0.7239
Tm1 Tm 0.3354 0.7500 0.3341
Se1 Se 0.0910 0.2500 0.3725
Se2 Se 0.2279 0.7500 0.9931
Se3 Se 0.4227 0.7500 0.6715
# Formation energy (no corrections): -1.591 eV/atom
# E: -5.158 eV/atom